A plane-wave DFT calculation with PBE-GGA was carried out for a geometry-optimized K2In3Pb structure.

Values from the calculation:
ΔE_f in meV/atom: -171

The structure in POSCAR format:
```
K2In3Pb
1.0
-2.232 3.225 -3.334
1.842 -1.202 -6.370
-5.870 -2.430 -2.394
K In Pb
2 3 1
direct
0.570 0.183 0.678 K
0.431 0.819 0.318 K
0.834 0.587 0.745 In
0.849 0.227 0.075 In
0.161 0.769 0.910 In
0.155 0.415 0.274 Pb
```


A plane-wave DFT calculation with PBE-GGA was carried out for a geometry-optimized K3In5Pb2 structure.

Values from the calculation:
ΔE_f in meV/atom: -80

The structure in POSCAR format:
```
K3In5Pb2
1.0
7.374 0.000 0.000
3.687 9.863 -0.602
3.687 2.037 9.669
K In Pb
6 10 4
direct
0.250 0.000 0.000 K
0.750 0.000 0.000 K
0.377 0.387 0.859 K
0.623 0.613 0.141 K
0.877 0.859 0.387 K
0.123 0.141 0.613 K
0.250 0.500 0.500 In
0.750 0.500 0.500 In
0.504 0.746 0.746 In
0.996 0.254 0.254 In
0.496 0.254 0.254 In
0.004 0.746 0.746 In
0.127 0.500 0.246 In
0.873 0.500 0.754 In
0.627 0.246 0.500 In
0.373 0.754 0.500 In
0.146 0.709 0.998 Pb
0.854 0.291 0.002 Pb
0.646 0.998 0.709 Pb
0.354 0.002 0.291 Pb
```


A plane-wave DFT calculation with PBE-GGA was carried out for a geometry-optimized K2In6Pb structure.

Values from the calculation:
ΔE_f in meV/atom: -100

The structure in POSCAR format:
```
K2In6Pb
1.0
-4.587 2.797 -4.590
-0.547 -6.038 -3.133
-4.197 1.565 5.150
K In Pb
2 6 1
direct
0.872 0.667 0.333 K
0.128 0.333 0.667 K
0.346 0.357 0.178 In
0.345 0.822 0.643 In
0.346 0.822 0.178 In
0.654 0.643 0.822 In
0.655 0.178 0.357 In
0.654 0.178 0.822 In
0.000 0.000 0.000 Pb
```


A plane-wave DFT calculation with PBE-GGA was carried out for a geometry-optimized KIn3Pb3 structure.

Values from the calculation:
ΔE_f in meV/atom: -22

The structure in POSCAR format:
```
KIn3Pb3
1.0
-1.135 -7.677 -1.917
4.023 -5.723 3.868
-5.219 -4.972 6.332
K In Pb
2 6 6
direct
0.322 0.322 0.033 K
0.678 0.678 0.967 K
0.590 0.754 0.594 In
0.754 0.063 0.594 In
0.063 0.590 0.594 In
0.937 0.410 0.406 In
0.246 0.937 0.406 In
0.410 0.246 0.406 In
0.189 0.728 0.214 Pb
0.869 0.189 0.214 Pb
0.728 0.869 0.214 Pb
0.272 0.131 0.786 Pb
0.131 0.811 0.786 Pb
0.811 0.272 0.786 Pb
```


no.,calculated volume (Å³ per cell),density (g cm⁻³)
1,201,5.19
2,712,5.16
3,285,5.68
4,465,7.17